(1)
This record from Alexandria describes Ca2Ge4Rh5 after structural relaxation. The functional is PBE.

a b c (Å): 5.749 5.694 7.779
angles (deg): 79.25 68.31 59.68
Fractional coordinates of all 11 atoms:
Ca 0.124 0.000 0.752
Ge 0.471 0.317 0.741
Ge 0.212 0.317 0.259
Ca 0.876 0.000 0.248
Rh 0.500 0.000 0.000
Rh 0.750 0.500 0.500
Ge 0.788 0.683 0.741
Rh 0.250 0.500 0.500
Rh 0.500 0.500 0.000
Rh 0.000 0.500 0.000
Ge 0.529 0.683 0.259

Summary:
Energy of formation (eV/atom): -0.715
E_tot (eV per atom): -6.10
SG: Fmmm
ρ (kg/m3): 7196

---

(2)
This record from Alexandria describes CaGe12Rh4 after structural relaxation. The functional is PBE.

a b c (Å): 7.509 7.509 7.509
angles (deg): 109.47 109.47 109.47
Fractional coordinates of all 17 atoms:
Ge 0.197 0.846 0.350
Ge 0.846 0.650 0.496
Ge 0.496 0.846 0.650
Ge 0.803 0.154 0.650
Ge 0.650 0.803 0.154
Ge 0.154 0.650 0.803
Rh 0.500 0.500 0.500
Ge 0.154 0.350 0.504
Ge 0.504 0.154 0.350
Rh 0.500 0.000 0.000
Rh 0.000 0.500 0.000
Rh 0.000 0.000 0.500
Ge 0.350 0.504 0.154
Ge 0.350 0.197 0.846
Ge 0.650 0.496 0.846
Ca 0.000 0.000 0.000
Ge 0.846 0.350 0.197

Summary:
Energy of formation (eV/atom): -0.224
E_tot (eV per atom): -5.33
SG: Im-3
ρ (kg/m3): 6743

---

(3)
This record from Alexandria describes Ca2GeRh2 after structural relaxation. The functional is PBE.

a b c (Å): 6.579 6.579 4.649
angles (deg): 90.00 90.00 90.00
Fractional coordinates of all 10 atoms:
Ge 0.000 0.000 0.000
Ge 0.500 0.500 0.000
Rh 0.356 0.856 0.000
Rh 0.644 0.144 0.000
Rh 0.856 0.644 0.000
Rh 0.144 0.356 0.000
Ca 0.674 0.826 0.500
Ca 0.826 0.326 0.500
Ca 0.326 0.174 0.500
Ca 0.174 0.674 0.500

Summary:
Energy of formation (eV/atom): -0.563
E_tot (eV per atom): -5.23
SG: P4/mbm
ρ (kg/m3): 5918

---

(4)
This record from Alexandria describes CaGe4Rh6 after structural relaxation. The functional is PBE.

a b c (Å): 3.852 7.226 7.226
angles (deg): 120.00 90.00 90.00
Fractional coordinates of all 11 atoms:
Rh 0.500 0.601 0.801
Ge 0.500 0.802 0.605
Ca 0.000 0.000 0.000
Rh 0.000 0.533 0.067
Rh 0.500 0.199 0.801
Ge 0.500 0.395 0.198
Rh 0.000 0.933 0.467
Rh 0.500 0.199 0.399
Ge 0.000 0.333 0.667
Rh 0.000 0.533 0.467
Ge 0.500 0.802 0.198

Summary:
Energy of formation (eV/atom): -0.678
E_tot (eV per atom): -6.55
SG: P-6m2
ρ (kg/m3): 9038

---

(5)
This record from Alexandria describes CaGe2Rh2 after structural relaxation. The functional is PBE.

a b c (Å): 7.588 7.588 2.920
angles (deg): 90.00 90.00 90.00
Fractional coordinates of all 10 atoms:
Ge 0.141 0.359 0.000
Rh 0.350 0.150 0.500
Rh 0.650 0.850 0.500
Ge 0.641 0.141 0.000
Ge 0.859 0.641 0.000
Ca 0.000 0.000 0.000
Ge 0.359 0.859 0.000
Rh 0.850 0.350 0.500
Ca 0.500 0.500 0.000
Rh 0.150 0.650 0.500

Summary:
Energy of formation (eV/atom): -0.473
E_tot (eV per atom): -5.66
SG: P4/mbm
ρ (kg/m3): 7725

---

(6)
This record from Alexandria describes Ca3Ge5Rh6 after structural relaxation. The functional is PBE.

a b c (Å): 4.051 9.823 12.876
angles (deg): 90.00 90.00 90.00
Fractional coordinates of all 28 atoms:
Ca 0.500 0.749 0.158
Rh 0.500 0.510 0.000
Ca 0.500 0.743 0.500
Rh 0.000 0.598 0.301
Ca 0.000 0.251 0.342
Ge 0.000 0.513 0.877
Ge 0.500 0.487 0.623
Ge 0.000 0.850 0.673
Ge 0.000 0.850 0.327
Rh 0.500 0.994 0.669
Ge 0.000 0.513 0.123
Ge 0.500 0.150 0.827
Rh 0.500 0.402 0.801
Ca 0.500 0.749 0.842
Ca 0.000 0.251 0.658
Rh 0.000 0.979 0.500
Rh 0.500 0.402 0.199
Ca 0.000 0.257 0.000
Ge 0.500 0.487 0.377
Rh 0.000 0.006 0.169
Ge 0.500 0.114 0.500
Rh 0.500 0.994 0.331
Rh 0.000 0.598 0.699
Ge 0.500 0.150 0.173
Ge 0.000 0.886 0.000
Rh 0.000 0.490 0.500
Rh 0.000 0.006 0.831
Rh 0.500 0.021 0.000

Summary:
Energy of formation (eV/atom): -0.750
E_tot (eV per atom): -5.98
SG: Pmmn
ρ (kg/m3): 7135

---

(7)
This record from Alexandria describes CaGe3Rh after structural relaxation. The functional is PBE.

a b c (Å): 5.919 6.122 6.128
angles (deg): 119.97 90.00 90.00
Fractional coordinates of all 10 atoms:
Ge 0.250 0.389 0.195
Ge 0.750 0.611 0.805
Ca 0.250 0.334 0.668
Ca 0.750 0.666 0.332
Rh 0.000 0.000 0.000
Ge 0.750 0.194 0.805
Ge 0.250 0.805 0.611
Ge 0.750 0.195 0.389
Ge 0.250 0.806 0.195
Rh 0.500 0.000 0.000

Summary:
Energy of formation (eV/atom): -0.463
E_tot (eV per atom): -5.10
SG: Cmcm
ρ (kg/m3): 6230

---

(8)
This record from Alexandria describes CaGe7Rh3 after structural relaxation. The functional is PBE.

a b c (Å): 7.932 7.932 8.345
angles (deg): 61.63 61.63 60.00
Fractional coordinates of all 22 atoms:
Ge 0.426 0.833 0.092
Ge 0.250 0.250 0.250
Ge 0.750 0.750 0.750
Rh 0.750 0.432 0.750
Ge 0.333 0.926 0.592
Ge 0.667 0.074 0.408
Rh 0.432 0.068 0.750
Ca 0.000 0.000 0.000
Ge 0.150 0.333 0.592
Ge 0.850 0.667 0.408
Ge 0.574 0.167 0.908
Ge 0.926 0.150 0.592
Ge 0.650 0.426 0.092
Rh 0.932 0.250 0.250
Rh 0.250 0.568 0.250
Rh 0.568 0.932 0.250
Ge 0.833 0.650 0.092
Ge 0.074 0.850 0.408
Rh 0.068 0.750 0.750
Ca 0.500 0.500 0.500
Ge 0.350 0.574 0.908
Ge 0.167 0.350 0.908

Summary:
Energy of formation (eV/atom): -0.482
E_tot (eV per atom): -5.61
SG: R-3c
ρ (kg/m3): 7490

---

(9)
This record from Alexandria describes CaGe3Rh2 after structural relaxation. The functional is PBE.

a b c (Å): 4.091 8.467 9.958
angles (deg): 103.54 90.00 103.98
Fractional coordinates of all 18 atoms:
Rh 0.648 0.296 0.437
Rh 0.493 0.986 0.237
Rh 0.792 0.584 0.915
Ge 0.645 0.289 0.924
Rh 0.208 0.416 0.085
Ca 0.852 0.703 0.305
Ca 0.000 0.000 0.000
Ge 0.774 0.548 0.636
Ge 0.226 0.452 0.364
Rh 0.352 0.704 0.563
Rh 0.507 0.014 0.763
Ge 0.500 0.000 0.500
Ca 0.148 0.297 0.695
Ge 0.637 0.273 0.178
Ge 0.948 0.896 0.638
Ge 0.355 0.711 0.076
Ge 0.052 0.104 0.362
Ge 0.363 0.727 0.822

Summary:
Excess energy over the best structure of this formula in the dataset (meV per atom): 0
Energy of formation (eV/atom): -0.568
E_tot (eV per atom): -5.66
SG: C2/m
ρ (kg/m3): 7114

---

(10)
This record from Alexandria describes Ca3Ge2Rh after structural relaxation. The functional is PBE.

a b c (Å): 8.178 9.633 8.012
angles (deg): 90.00 112.24 90.00
Fractional coordinates of all 24 atoms:
Rh 0.002 0.635 0.904
Ca 0.233 0.353 0.472
Ca 0.267 0.853 0.028
Rh 0.502 0.865 0.404
Ca 0.500 0.139 0.229
Ca 0.000 0.361 0.729
Ca 0.733 0.147 0.972
Rh 0.998 0.365 0.096
Rh 0.498 0.135 0.596
Ca 0.767 0.647 0.528
Ge 0.382 0.649 0.484
Ca 0.650 0.505 0.874
Ca 0.150 0.995 0.374
Ca 0.850 0.005 0.626
Ge 0.793 0.368 0.279
Ge 0.118 0.149 0.016
Ge 0.293 0.132 0.779
Ca 0.000 0.639 0.271
Ca 0.500 0.861 0.771
Ge 0.207 0.632 0.721
Ge 0.882 0.851 0.984
Ge 0.618 0.351 0.516
Ge 0.707 0.868 0.221
Ca 0.350 0.495 0.126

Summary:
Energy of formation (eV/atom): -0.503
E_tot (eV per atom): -4.27
SG: P2_1/c
ρ (kg/m3): 4189

---

(11)
This record from Alexandria describes CaGe6Rh after structural relaxation. The functional is PBE.

a b c (Å): 5.175 9.117 9.117
angles (deg): 130.39 90.00 90.00
Fractional coordinates of all 16 atoms:
Ge 0.293 0.540 0.460
Rh 0.000 0.250 0.250
Rh 0.000 0.750 0.750
Ge 0.756 0.686 0.954
Ge 0.293 0.960 0.040
Ca 0.756 0.250 0.750
Ge 0.756 0.814 0.546
Ge 0.707 0.040 0.960
Ge 0.244 0.954 0.686
Ge 0.244 0.546 0.814
Ge 0.707 0.460 0.540
Ge 0.244 0.186 0.454
Ge 0.756 0.454 0.186
Ca 0.244 0.750 0.250
Ge 0.756 0.046 0.314
Ge 0.244 0.314 0.046

Summary:
Energy of formation (eV/atom): -0.158
E_tot (eV per atom): -4.79
SG: Cmme
ρ (kg/m3): 5868

---

(12)
This record from Alexandria describes Ca2Ge2Rh after structural relaxation. The functional is PBE.

a b c (Å): 4.341 4.341 6.834
angles (deg): 71.48 71.48 90.00
Fractional coordinates of all 5 atoms:
Ge 0.408 0.408 0.184
Ca 0.250 0.750 0.500
Ca 0.750 0.250 0.500
Rh 0.000 0.000 0.000
Ge 0.592 0.592 0.816

Summary:
Energy of formation (eV/atom): 0.249
E_tot (eV per atom): -3.87
SG: I4/mmm
ρ (kg/m3): 4739

---

(13)
This record from Alexandria describes CaGeRh3 after structural relaxation. The functional is PBE.

a b c (Å): 4.611 4.611 4.611
angles (deg): 90.00 90.00 90.00
Fractional coordinates of all 5 atoms:
Rh 0.000 0.500 0.000
Ge 0.000 0.000 0.000
Rh 0.500 0.000 0.000
Ca 0.500 0.500 0.500
Rh 0.000 0.000 0.500

Summary:
Excess energy over the best structure of this formula in the dataset (meV per atom): 254
Energy of formation (eV/atom): -0.128
E_tot (eV per atom): -5.86
SG: Pm-3m
ρ (kg/m3): 7139

---

(14)
This record from Alexandria describes CaGeRh3 after structural relaxation. The functional is PBE.

a b c (Å): 4.735 4.735 4.735
angles (deg): 90.00 90.00 90.00
Each line ends with the local moment (μB).
Fractional coordinates of all 5 atoms:
Rh 0.000 0.500 0.000  0.40
Rh 0.000 0.000 0.500  0.40
Ge 0.500 0.500 0.500  -0.03
Ca 0.000 0.000 0.000  -0.03
Rh 0.500 0.000 0.000  0.26

Summary:
Excess energy over the best structure of this formula in the dataset (meV per atom): 1784
Energy of formation (eV/atom): 1.402
E_tot (eV per atom): -4.33
SG: Pm-3m
ρ (kg/m3): 6593

---

(15)
This record from Alexandria describes Ca3GeRh2 after structural relaxation. The functional is PBE.

a b c (Å): 4.038 4.613 8.034
angles (deg): 106.71 104.55 90.00
Fractional coordinates of all 6 atoms:
Ge 0.000 0.000 0.000
Rh 0.607 0.107 0.213
Ca 0.184 0.684 0.367
Rh 0.393 0.893 0.787
Ca 0.816 0.316 0.633
Ca 0.500 0.500 0.000

Summary:
Energy of formation (eV/atom): -0.441
E_tot (eV per atom): -4.66
SG: Immm
ρ (kg/m3): 4787

---

(16)
This record from Alexandria describes Ca2Ge2Rh after structural relaxation. The functional is PBE.

a b c (Å): 6.757 6.757 4.585
angles (deg): 90.00 90.00 90.00
Fractional coordinates of all 10 atoms:
Ca 0.325 0.175 0.500
Rh 0.000 0.000 0.000
Ca 0.675 0.825 0.500
Rh 0.500 0.500 0.000
Ge 0.135 0.365 0.000
Ca 0.175 0.675 0.500
Ge 0.865 0.635 0.000
Ge 0.635 0.135 0.000
Ge 0.365 0.865 0.000
Ca 0.825 0.325 0.500

Summary:
Energy of formation (eV/atom): -0.658
E_tot (eV per atom): -4.78
SG: P4/mbm
ρ (kg/m3): 5209

---

(17)
This record from Alexandria describes CaGe3Rh2 after structural relaxation. The functional is PBE.

a b c (Å): 5.690 6.240 6.240
angles (deg): 101.65 90.00 90.00
Fractional coordinates of all 12 atoms:
Ge 0.750 0.030 0.030
Ge 0.250 0.970 0.970
Ge 0.750 0.117 0.448
Rh 0.500 0.221 0.779
Ge 0.250 0.552 0.883
Rh 0.500 0.779 0.221
Ge 0.750 0.448 0.117
Ca 0.250 0.348 0.348
Rh 0.000 0.779 0.221
Ge 0.250 0.883 0.552
Rh 0.000 0.221 0.779
Ca 0.750 0.652 0.652

Summary:
Excess energy over the best structure of this formula in the dataset (meV per atom): 41
Energy of formation (eV/atom): -0.527
E_tot (eV per atom): -5.62
SG: Cmcm
ρ (kg/m3): 7100

---

(18)
This record from Alexandria describes Ca3Ge13Rh4 after structural relaxation. The functional is PBE.

a b c (Å): 9.091 9.091 9.091
angles (deg): 90.00 90.00 90.00
Fractional coordinates of all 40 atoms:
Rh 0.250 0.750 0.750
Ca 0.500 0.250 0.000
Ge 0.300 0.000 0.145
Ge 0.145 0.300 0.000
Ge 0.500 0.200 0.645
Ge 0.645 0.500 0.200
Rh 0.750 0.750 0.750
Ca 0.500 0.750 0.000
Ge 0.200 0.645 0.500
Rh 0.750 0.750 0.250
Ge 0.855 0.700 0.000
Ge 0.500 0.200 0.355
Ge 0.000 0.145 0.700
Rh 0.750 0.250 0.250
Ge 0.300 0.000 0.855
Ge 0.200 0.355 0.500
Ge 0.000 0.855 0.300
Ge 0.000 0.145 0.300
Ca 0.000 0.500 0.750
Rh 0.250 0.250 0.250
Ge 0.800 0.645 0.500
Ge 0.800 0.355 0.500
Ge 0.355 0.500 0.200
Ge 0.855 0.300 0.000
Ge 0.500 0.800 0.355
Ge 0.000 0.000 0.000
Ca 0.250 0.000 0.500
Ge 0.700 0.000 0.855
Ge 0.645 0.500 0.800
Ca 0.750 0.000 0.500
Ca 0.000 0.500 0.250
Ge 0.355 0.500 0.800
Ge 0.500 0.800 0.645
Ge 0.500 0.500 0.500
Rh 0.250 0.250 0.750
Ge 0.700 0.000 0.145
Ge 0.145 0.700 0.000
Ge 0.000 0.855 0.700
Rh 0.750 0.250 0.750
Rh 0.250 0.750 0.250

Summary:
Energy of formation (eV/atom): -0.458
E_tot (eV per atom): -5.23
SG: Pm-3n
ρ (kg/m3): 6526

---

(19)
This record from Alexandria describes Ca3Ge4Rh after structural relaxation. The functional is PBE.

a b c (Å): 4.678 5.232 8.937
angles (deg): 107.02 105.17 90.00
Fractional coordinates of all 8 atoms:
Ca 0.794 0.794 0.588
Ge 0.377 0.614 0.754
Ca 0.206 0.206 0.412
Ge 0.623 0.860 0.246
Ge 0.377 0.140 0.754
Ca 0.000 0.500 0.000
Rh 0.500 0.000 0.000
Ge 0.623 0.386 0.246

Summary:
Energy of formation (eV/atom): -0.407
E_tot (eV per atom): -4.39
SG: Immm
ρ (kg/m3): 4240